Entry from Alexandria via LeMat-Bulk: an optimized crystal structure of Tb2YHo5In (GGA-PBE).

a b c (Å): 5.3438 19.9318 10.5259
angles (deg): 90.00 90.00 90.00
Space group Cmcm (No. 63)
Symmetry-distinct sites (fractional):
Tb 0.0000 0.1160 0.0430
Y 0.0000 0.2073 0.7500
Ho 0.0000 0.0128 0.7500
Ho 0.0000 0.2904 0.0490
Ho 0.0000 0.3846 0.7500
Ho 0.0000 0.5000 0.0000
In 0.0000 0.4048 0.2500

## Properties
raw total energy: -41.408 eV per formula unit
formation energy from the elements: -0.0062 eV per atom